[1]
A geometry-optimized TlAgP2Cl structure, computed with GGA-PBE.

Results
E ... -2.592 eV per atom
Volume ... 147.5 Å³ per cell
Symmetry ... P4/mmm

a = 5.1820 Å, b = 5.1820 Å, c = 5.4924 Å
α = 90.00°, β = 90.00°, γ = 90.00°
Fractional coordinates of all 5 atoms:
Tl 0.0000 0.0000 0.0000
Ag 0.5000 0.5000 0.5000
P 0.0000 0.5000 0.0000
P 0.5000 0.0000 0.0000
Cl 0.0000 0.0000 0.5000


[2]
A geometry-optimized ScNb2Te2 structure, computed with GGA-PBE.

Results
E ... -6.770 eV per atom
Volume ... 116.4 Å³ per cell
Symmetry ... I4/mmm

a = 8.0751 Å, b = 8.0751 Å, c = 8.0751 Å
α = 151.92°, β = 151.92°, γ = 40.13°
Fractional coordinates of all 5 atoms:
Sc 0.0000 0.0000 0.0000
Nb 0.2500 0.7500 0.5000
Nb 0.7500 0.2500 0.5000
Te 0.3904 0.3904 0.0000
Te 0.6096 0.6096 0.0000


[3]
A geometry-optimized Na3Sc3TaSe8 structure, computed with GGA-PBE.

Results
E ... -5.563 eV per atom
Volume ... 365.8 Å³ per cell
Symmetry ... C2/m

a = 7.7027 Å, b = 7.7027 Å, c = 8.4018 Å
α = 117.36°, β = 117.36°, γ = 59.97°
Fractional coordinates of all 15 atoms:
Na 0.0000 0.0000 0.0000
Na 0.0000 0.5000 0.0000
Na 0.5000 0.0000 0.0000
Sc 0.0000 0.5000 0.5000
Sc 0.5000 0.0000 0.5000
Sc 0.5000 0.5000 0.5000
Ta 0.0000 0.0000 0.5000
Se 0.2337 0.2337 0.7143
Se 0.2338 0.7470 0.7143
Se 0.2530 0.7662 0.2857
Se 0.2600 0.2600 0.2804
Se 0.7400 0.7400 0.7196
Se 0.7470 0.2338 0.7143
Se 0.7662 0.2530 0.2857
Se 0.7663 0.7663 0.2857


[4]
A geometry-optimized Zr2AlPb structure, computed with GGA-PBE.

Results
E ... -6.373 eV per atom
Volume ... 86.5 Å³ per cell
Symmetry ... Pmmm

a = 4.3598 Å, b = 4.4462 Å, c = 4.4632 Å
α = 90.00°, β = 90.00°, γ = 90.00°
Fractional coordinates of all 4 atoms:
Zr 0.0000 0.0000 0.0000
Zr 0.0000 0.5000 0.5000
Al 0.5000 0.0000 0.5000
Pb 0.5000 0.5000 0.0000


[5]
A geometry-optimized RbGaS2O8 structure, computed with GGA-PBE.

Results
E ... -5.906 eV per atom
Volume ... 183.3 Å³ per cell
Symmetry ... P321

a = 4.9857 Å, b = 4.9857 Å, c = 8.5145 Å
α = 90.00°, β = 90.00°, γ = 120.00°
Fractional coordinates of all 12 atoms:
Rb 0.0000 0.0000 0.0000
Ga 0.0000 0.0000 0.5000
S 0.3333 0.6667 0.7046
S 0.6667 0.3333 0.2954
O 0.1096 0.3488 0.6468
O 0.2392 0.8904 0.6468
O 0.3333 0.6667 0.8760
O 0.3488 0.1096 0.3532
O 0.6512 0.7608 0.6468
O 0.6667 0.3333 0.1240
O 0.7608 0.6512 0.3532
O 0.8904 0.2392 0.3532


[6]
A geometry-optimized Rb2LiCd structure, computed with GGA-PBE.

Results
E ... -0.946 eV per atom
Volume ... 206.3 Å³ per cell
Symmetry ... R-3m

a = 13.5087 Å, b = 13.5087 Å, c = 13.5087 Å
α = 18.04°, β = 18.04°, γ = 18.04°
Fractional coordinates of all 4 atoms:
Rb 0.0933 0.0933 0.0933
Rb 0.9067 0.9067 0.9067
Li 0.0000 0.0000 0.0000
Cd 0.5000 0.5000 0.5000


[7]
A geometry-optimized KAu structure, computed with GGA-PBE.

Results
E ... -2.421 eV per atom
Volume ... 76.8 Å³ per cell
Symmetry ... P-6m2

a = 4.6075 Å, b = 4.6075 Å, c = 4.1796 Å
α = 90.00°, β = 90.00°, γ = 120.00°
Fractional coordinates of all 2 atoms:
K 0.0000 0.0000 0.0000
Au 0.3333 0.6667 0.5000


[8]
A geometry-optimized CsZnCd2 structure, computed with GGA-PBE.

Results
E ... -1.011 eV per atom
Volume ... 142.2 Å³ per cell
Symmetry ... R3m

a = 7.4409 Å, b = 7.4409 Å, c = 7.4409 Å
α = 38.31°, β = 38.31°, γ = 38.31°
Fractional coordinates of all 4 atoms:
Cs 0.0000 0.0000 0.0000
Zn 0.1842 0.1842 0.1842
Cd 0.5138 0.5138 0.5138
Cd 0.8133 0.8133 0.8133


[9]
A geometry-optimized NaTiPb2 structure, computed with GGA-PBE.

Results
E ... -4.197 eV per atom
Volume ... 99.7 Å³ per cell
Symmetry ... P4/mmm

a = 3.2850 Å, b = 3.2850 Å, c = 9.2384 Å
α = 90.00°, β = 90.00°, γ = 90.00°
Fractional coordinates of all 4 atoms:
Na 0.0000 0.0000 0.0000
Ti 0.0000 0.0000 0.5000
Pb 0.5000 0.5000 0.2748
Pb 0.5000 0.5000 0.7252


[10]
A geometry-optimized K2RbHo structure, computed with GGA-PBE.

Results
E ... -1.455 eV per atom
Volume ... 220.1 Å³ per cell
Symmetry ... R-3m

a = 16.2654 Å, b = 16.2654 Å, c = 16.2654 Å
α = 14.03°, β = 14.03°, γ = 14.03°
Fractional coordinates of all 4 atoms:
K 0.0778 0.0778 0.0778
K 0.9222 0.9222 0.9222
Rb 0.5000 0.5000 0.5000
Ho 0.0000 0.0000 0.0000


[11]
A geometry-optimized MgIn2IrO6 structure, computed with GGA-PBE.

Results
E ... -6.039 eV per atom
Volume ... 120.3 Å³ per cell
Symmetry ... R3

a = 5.6714 Å, b = 5.6714 Å, c = 5.6714 Å
α = 57.06°, β = 57.06°, γ = 57.06°
Fractional coordinates of all 10 atoms:
Mg 0.0000 0.0000 0.0000
In 0.2788 0.2788 0.2788
In 0.7852 0.7852 0.7852
Ir 0.4901 0.4901 0.4901
O 0.1198 0.7043 0.3756
O 0.2201 0.6121 0.8597
O 0.3756 0.1198 0.7043
O 0.6121 0.8597 0.2201
O 0.7043 0.3756 0.1198
O 0.8597 0.2201 0.6121


[12]
A geometry-optimized MgMn2Cl structure, computed with GGA-PBE.

Results
E ... -5.198 eV per atom
Volume ... 73.8 Å³ per cell
Symmetry ... C2/m

a = 5.8689 Å, b = 5.8689 Å, c = 3.0619 Å
α = 104.77°, β = 104.77°, γ = 123.72°
Fractional coordinates of all 4 atoms:
Mg 0.0000 0.0000 0.0000
Mn 0.0000 0.5000 0.5000
Mn 0.5000 0.0000 0.5000
Cl 0.5000 0.5000 0.0000


What is the E in the tenth record?
-1.455 eV per atom


E of number 8 (CsZnCd2)?
-1.011 eV per atom


E of number 7 (KAu)?
-2.421 eV per atom